Record 1
First-principles (PBE) data for an optimized crystal structure of BiRhSe2, as listed in the Alexandria database.

a = 3.650 Å, b = 6.432 Å, c = 9.060 Å
α = 70.01°, β = 89.92°, γ = 73.80°
Element x y z (fractional)
Bi 0.103 0.296 0.307
Bi 0.897 0.704 0.693
Rh 0.281 0.938 0.833
Rh 0.719 0.062 0.167
Se 0.134 0.237 0.972
Se 0.336 0.822 0.357
Se 0.664 0.178 0.643
Se 0.866 0.763 0.028

Summary:
The density of states at the Fermi level is 2.62 states/eV/f.u. Its symmetry is P-1. The value obtained for the uncorrected formation energy is -0.288 eV/atom.

Record 2
First-principles (PBE) data for an optimized crystal structure of Pm12PrGa6, as listed in the Alexandria database.

a = 9.008 Å, b = 9.008 Å, c = 9.008 Å
α = 109.47°, β = 109.47°, γ = 109.47°
Element x y z (fractional)
Pm 0.097 0.291 0.806
Pm 0.194 0.485 0.291
Pm 0.194 0.903 0.709
Pm 0.291 0.194 0.485
Pm 0.291 0.806 0.097
Pm 0.485 0.291 0.194
Pm 0.515 0.709 0.806
Pm 0.709 0.194 0.903
Pm 0.709 0.806 0.515
Pm 0.806 0.097 0.291
Pm 0.806 0.515 0.709
Pm 0.903 0.709 0.194
Pr 0.000 0.000 0.000
Ga 0.120 0.500 0.620
Ga 0.380 0.880 0.500
Ga 0.500 0.380 0.880
Ga 0.500 0.620 0.120
Ga 0.620 0.120 0.500
Ga 0.880 0.500 0.380

Summary:
The density of states at the Fermi level is 28.90 states/eV/f.u. The value obtained for the energy relative to the elements is -286 meV/atom. Its symmetry is Im-3.